TcMoF2, optimized geometry, DFT PBE+U; uncorrected energy = -0.39328 Ry per atom; density = 6523 kg/m3; DOS at the Fermi energy = 1.7 states/eV per cell; energy above the lowest structure with this stoichiometry = 351 meV per atom; space-group type = Fm-3m, No. 225
1.0
0.000 3.091 3.091
3.091 0.000 3.091
3.091 3.091 0.000
F Tc Mo
2 1 1
direct
0.750 0.750 0.750 F
0.250 0.250 0.250 F
0.500 0.500 0.500 Tc
0.000 0.000 0.000 Mo